{"formula": "Hf2GaTeAs", "functional": "meta-GGA SCAN", "state": "single point on PBEsol structure", "final_energy_ev_per_atom": -39.2417, "sg": "P4/mmm, No. 123", "volume_a3_per_atom": 26.18, "cell": [[4.954, 0.000, 0.000], [0.000, 4.954, 0.000], [0.000, 0.000, 5.334]], "species": ["Hf", "Hf", "Ga", "Te", "As"], "fractional_positions": [[0.000, 0.500, 0.000], [0.500, 0.000, 0.000], [0.000, 0.000, 0.500], [0.500, 0.500, 0.500], [0.500, 0.500, 0.000]]}


{"formula": "GaHgAs2", "functional": "meta-GGA SCAN", "state": "single point on PBEsol structure", "final_energy_ev_per_atom": -30.7782, "sg": "Fm-3m, No. 225", "formation_energy_ev_per_atom": 0.45, "volume_a3_per_atom": 19.66, "cell": [[6.801, 0.000, 0.000], [0.000, 6.801, 0.000], [0.000, 0.000, 6.801]], "species": ["Ga", "Ga", "Ga", "Ga", "Hg", "Hg", "Hg", "Hg", "As", "As", "As", "As", "As", "As", "As", "As"], "fractional_positions": [[0.000, 0.000, 0.000], [0.000, 0.500, 0.500], [0.500, 0.000, 0.500], [0.500, 0.500, 0.000], [0.000, 0.000, 0.500], [0.000, 0.500, 0.000], [0.500, 0.000, 0.000], [0.500, 0.500, 0.500], [0.250, 0.250, 0.250], [0.250, 0.250, 0.750], [0.250, 0.750, 0.250], [0.250, 0.750, 0.750], [0.750, 0.250, 0.250], [0.750, 0.250, 0.750], [0.750, 0.750, 0.250], [0.750, 0.750, 0.750]]}


{"formula": "GaHg2As", "functional": "meta-GGA SCAN", "state": "single point on PBEsol structure", "final_energy_ev_per_atom": -42.9351, "sg": "Fm-3m, No. 225", "formation_energy_ev_per_atom": 0.28, "volume_a3_per_atom": 21.03, "cell": [[6.955, 0.000, 0.000], [0.000, 6.955, 0.000], [0.000, 0.000, 6.955]], "species": ["Ga", "Ga", "Ga", "Ga", "Hg", "Hg", "Hg", "Hg", "Hg", "Hg", "Hg", "Hg", "As", "As", "As", "As"], "fractional_positions": [[0.000, 0.000, 0.000], [0.000, 0.500, 0.500], [0.500, 0.000, 0.500], [0.500, 0.500, 0.000], [0.250, 0.250, 0.250], [0.250, 0.250, 0.750], [0.250, 0.750, 0.250], [0.250, 0.750, 0.750], [0.750, 0.250, 0.250], [0.750, 0.250, 0.750], [0.750, 0.750, 0.250], [0.750, 0.750, 0.750], [0.000, 0.000, 0.500], [0.000, 0.500, 0.000], [0.500, 0.000, 0.000], [0.500, 0.500, 0.500]]}


{"formula": "Nb2GaHgAs", "functional": "meta-GGA SCAN", "state": "single point on PBEsol structure", "final_energy_ev_per_atom": -33.4798, "sg": "P4/mmm, No. 123", "formation_energy_ev_per_atom": 0.71, "volume_a3_per_atom": 21.37, "cell": [[4.784, 0.000, 0.000], [0.000, 4.784, 0.000], [0.000, 0.000, 4.668]], "species": ["Nb", "Nb", "Ga", "Hg", "As"], "fractional_positions": [[0.000, 0.500, 0.000], [0.500, 0.000, 0.000], [0.000, 0.000, 0.500], [0.500, 0.500, 0.500], [0.000, 0.000, 0.000]]}


{"formula": "GaAsI2", "functional": "meta-GGA SCAN", "state": "single point on PBEsol structure", "final_energy_ev_per_atom": -27.1364, "sg": "I-42d, No. 122", "volume_a3_per_atom": 34.58, "cell": [[5.508, 0.000, 0.000], [0.000, 5.508, 0.000], [0.000, 0.000, 18.235]], "species": ["Ga", "Ga", "Ga", "Ga", "As", "As", "As", "As", "I", "I", "I", "I", "I", "I", "I", "I"], "fractional_positions": [[0.000, 0.000, 0.000], [0.000, 0.500, 0.250], [0.500, 0.000, 0.750], [0.500, 0.500, 0.500], [0.000, 0.000, 0.500], [0.000, 0.500, 0.750], [0.500, 0.000, 0.250], [0.500, 0.500, 0.000], [0.220, 0.250, 0.625], [0.250, 0.720, 0.875], [0.250, 0.780, 0.375], [0.280, 0.250, 0.125], [0.720, 0.750, 0.125], [0.750, 0.220, 0.375], [0.750, 0.280, 0.875], [0.780, 0.750, 0.625]]}


{"formula": "GaAsIN2", "functional": "meta-GGA SCAN", "state": "single point on PBEsol structure", "final_energy_ev_per_atom": -16.9933, "sg": "P4/mmm, No. 123", "volume_a3_per_atom": 19.33, "cell": [[3.921, 0.000, 0.000], [0.000, 3.921, 0.000], [0.000, 0.000, 6.287]], "species": ["Ga", "As", "I", "N", "N"], "fractional_positions": [[0.000, 0.000, 0.000], [0.500, 0.500, 0.500], [0.000, 0.000, 0.500], [0.000, 0.500, 0.000], [0.500, 0.000, 0.000]]}


{"formula": "GaSb2AsI", "functional": "meta-GGA SCAN", "state": "single point on PBEsol structure", "final_energy_ev_per_atom": -28.9557, "sg": "P4/mmm, No. 123", "volume_a3_per_atom": 27.84, "cell": [[5.427, 0.000, 0.000], [0.000, 5.427, 0.000], [0.000, 0.000, 4.726]], "species": ["Ga", "Sb", "Sb", "As", "I"], "fractional_positions": [[0.000, 0.000, 0.000], [0.000, 0.500, 0.000], [0.500, 0.000, 0.000], [0.000, 0.000, 0.500], [0.500, 0.500, 0.500]]}


{"formula": "GaAsSe2I", "functional": "meta-GGA SCAN", "state": "single point on PBEsol structure", "final_energy_ev_per_atom": -22.1566, "sg": "P4/mmm, No. 123", "volume_a3_per_atom": 24.25, "cell": [[4.857, 0.000, 0.000], [0.000, 4.857, 0.000], [0.000, 0.000, 5.139]], "species": ["Ga", "As", "Se", "Se", "I"], "fractional_positions": [[0.000, 0.000, 0.000], [0.000, 0.000, 0.500], [0.000, 0.500, 0.000], [0.500, 0.000, 0.000], [0.500, 0.500, 0.500]]}